The following is a PBE calculation of an optimized crystal structure of Al2InOs, from Alexandria via LeMat-Bulk.

```
4
Lattice="2.985 0.000 0.000 0.000 2.985 0.000 0.000 0.000 7.932" Properties=species:S:1:pos:R:3 pbc="T T T"
Os 1.493 1.493 6.210
Al 0.000 0.000 7.650
Al 1.493 1.493 1.728
In 0.000 0.000 4.243
```

Summary:
**Total energy**: -20.9 eV/cell
**Symmetry**: P4mm, No. 99

The following is a PBE calculation of an optimized crystal structure of La7TbPr2, from Alexandria via LeMat-Bulk.

```
10
Lattice="-0.676 -1.276 3.235 8.047 -8.919 -1.837 3.778 7.355 3.692" Properties=species:S:1:pos:R:3 pbc="T T T"
La 5.742 -3.833 -0.312
La 6.084 2.269 2.167
La 2.666 0.459 2.678
La 8.483 -3.300 2.411
La 2.493 -2.767 1.369
La 8.656 -0.073 3.721
La 5.575 -1.420 2.545
Tb 0.000 0.000 0.000
Pr 7.996 -6.478 1.055
Pr 3.154 3.637 4.034
```

Summary:
**Total energy**: -47.5 eV/cell
**Symmetry**: P2/m, No. 10

The following is a PBE calculation of an optimized crystal structure of Rb2LaPdCl6, from Alexandria via LeMat-Bulk.

```
10
Lattice="7.410 0.000 0.000 0.000 7.410 0.000 3.705 3.705 6.035" Properties=species:S:1:pos:R:3 pbc="T T T"
Cl 3.705 3.705 3.269
Cl 7.410 7.410 2.766
Cl 1.952 1.952 0.000
Cl 5.458 5.458 0.000
Cl 5.458 1.952 0.000
Cl 1.952 5.458 0.000
Rb 7.410 3.705 3.017
Rb 3.705 7.410 3.017
Pd 3.705 3.705 0.000
La 0.000 0.000 0.000
```

Summary:
**Raw formation energy**: -1711.9 meV/atom
**Symmetry**: I4/mmm, No. 139

The following is a PBE calculation of an optimized crystal structure of Ta4IBr7, from Alexandria via LeMat-Bulk.

```
24
Lattice="-1.869 -4.370 -3.296 5.358 -4.549 2.993 -10.209 -4.405 11.632" Properties=species:S:1:pos:R:3 pbc="T T T"
Ta -4.797 -11.149 10.861
Ta 3.035 -6.144 4.730
Ta -4.341 -4.253 1.330
Ta -6.671 -3.543 6.914
Ta -3.938 -2.363 3.799
Ta 2.679 -7.923 2.344
Ta -3.157 -8.815 11.785
Ta -8.357 -5.986 5.907
I -1.388 -7.713 7.006
I -10.979 -9.081 9.185
Br 0.890 -8.142 0.383
Br -3.351 -4.956 3.640
Br -8.307 -6.725 9.676
Br -4.039 -10.021 6.550
Br -1.521 -8.933 3.679
Br -0.617 -3.408 0.915
Br -4.775 -8.770 9.681
Br -7.830 -8.581 6.088
Br -3.171 -6.571 0.779
Br 0.775 -6.376 3.358
Br 3.470 -5.735 0.887
Br -5.900 -7.291 3.190
Br -6.868 -11.488 9.221
Br -5.802 -6.015 6.434
```

Summary:
**Raw formation energy**: -449.4 meV/atom
**Symmetry**: P2_1, No. 4

The following is a PBE calculation of an optimized crystal structure of CaDySi3, from Alexandria via LeMat-Bulk.

```
10
Lattice="3.955 0.000 0.000 0.000 4.110 -0.786 0.000 0.293 12.670" Properties=species:S:1:pos:R:3 pbc="T T T"
Ca 0.989 3.450 6.901
Ca 2.967 0.953 4.984
Dy 0.989 0.323 1.689
Dy 2.967 4.080 10.196
Si 0.989 1.799 9.406
Si 2.967 2.604 2.478
Si 0.989 2.235 11.688
Si 2.967 2.168 0.197
Si 2.967 1.544 8.077
Si 0.989 2.858 3.808
```

Summary:
**Raw formation energy**: -515.6 meV/atom
**Symmetry**: Cmcm, No. 63

The following is a PBE calculation of an optimized crystal structure of BaSr2Si, from Alexandria via LeMat-Bulk.

```
4
Lattice="5.954 0.000 0.000 2.977 5.156 0.000 2.977 1.719 4.861" Properties=species:S:1:pos:R:3 pbc="T T T"
Ba 5.954 3.437 2.431
Si 8.931 5.156 3.646
Sr 0.000 0.000 0.000
Sr 2.977 1.719 1.215
```

Summary:
**Raw formation energy**: 114.2 meV/atom
**Symmetry**: F-43m, No. 216

Ordered calculated volume results: 70.7; 360.3; 331.3; 711.0; 206.9; 149.2; unit Å³/cell.
Ordered spin magnetization results: 0.0; 0.0; 1.0; 0.0; 0.0; 0.0; unit μB/f.u..